1.
Crystalline DyFe3 at its relaxed geometry. Source: OQMD, functional PBE-GGA.

Results
Space-group type: Fm-3m
Size of the total moment, μB per formula unit: 6.2
Theoretical density, g cm⁻³: 9.297
Volume, Å³/atom: 14.74
Energy of formation, eV/atom: 0.243

```
DyFe3
1.0
0.000 3.089 3.089
3.089 0.000 3.089
3.089 3.089 0.000
Dy Fe
1 3
Direct
0.000 0.000 0.000
0.250 0.250 0.250
0.500 0.500 0.500
0.750 0.750 0.750
```

***

2.
Crystalline Dy2Fe17 at its relaxed geometry. Source: OQMD, functional PBE-GGA.

Results
Space-group type: R-3m
Size of the total moment, μB per formula unit: 37.2
Theoretical density, g cm⁻³: 8.453
Volume, Å³/atom: 13.18
Energy of formation, eV/atom: -0.011

```
Dy2Fe17
1.0
4.194 2.421 4.109
-4.194 2.421 4.109
0.000 -4.843 4.109
Dy Fe
2 17
Direct
0.160 0.160 0.160
0.840 0.840 0.840
0.000 0.500 0.500
0.158 0.158 0.658
0.158 0.658 0.158
0.202 0.500 0.798
0.202 0.798 0.500
0.342 0.842 0.842
0.404 0.404 0.404
0.500 0.000 0.500
0.500 0.202 0.798
0.500 0.500 0.000
0.500 0.798 0.202
0.596 0.596 0.596
0.658 0.158 0.158
0.798 0.202 0.500
0.798 0.500 0.202
0.842 0.342 0.842
0.842 0.842 0.342
```

***

3.
Crystalline DyFe at its relaxed geometry. Source: OQMD, functional PBE-GGA.

Results
Space-group type: F-43m
Size of the total moment, μB per formula unit: 1.1
Theoretical density, g cm⁻³: 7.211
Volume, Å³/atom: 25.14
Energy of formation, eV/atom: 1.479

```
DyFe
1.0
0.000 2.930 2.930
2.930 0.000 2.930
2.930 2.930 0.000
Dy Fe
1 1
Direct
0.000 0.000 0.000
0.750 0.750 0.750
```

***

4.
Crystalline DyFe at its relaxed geometry. Source: OQMD, functional PBE-GGA.

Results
Space-group type: P-3m1
Size of the total moment, μB per formula unit: 1.5
Theoretical density, g cm⁻³: 7.365
Volume, Å³/atom: 24.62
Energy of formation, eV/atom: 1.024

```
DyFe
1.0
4.533 0.000 0.000
-2.266 3.926 0.000
0.000 0.000 5.533
Dy Fe
2 2
Direct
0.333 0.667 0.251
0.667 0.333 0.749
0.333 0.667 0.751
0.667 0.333 0.249
```

***

5.
Crystalline Dy2Ga3Fe14 at its relaxed geometry. Source: OQMD, functional PBE-GGA.

Results
E_tot, eV/atom: -7.194
Space-group type: P6_3/mmc
Size of the total moment, μB per formula unit: 28.8
Theoretical density, g cm⁻³: 8.454
Volume, Å³/atom: 13.60

```
Dy2Ga3Fe14
1.0
8.527 0.000 0.000
-4.264 7.385 0.000
0.000 0.000 8.210
Dy Ga Fe
4 6 28
Direct
0.000 0.000 0.250
0.000 0.000 0.750
0.333 0.667 0.250
0.667 0.333 0.750
0.000 0.500 0.000
0.000 0.500 0.500
0.500 0.000 0.000
0.500 0.000 0.500
0.500 0.500 0.000
0.500 0.500 0.500
0.027 0.349 0.750
0.027 0.679 0.750
0.165 0.331 0.013
0.165 0.331 0.487
0.165 0.835 0.013
0.165 0.835 0.487
0.321 0.349 0.750
0.321 0.973 0.750
0.331 0.165 0.513
0.331 0.165 0.987
0.333 0.667 0.611
0.333 0.667 0.889
0.349 0.027 0.250
0.349 0.321 0.250
0.651 0.679 0.750
0.651 0.973 0.750
0.667 0.333 0.111
0.667 0.333 0.389
0.669 0.835 0.013
0.669 0.835 0.487
0.679 0.027 0.250
0.679 0.651 0.250
0.835 0.165 0.513
0.835 0.165 0.987
0.835 0.669 0.513
0.835 0.669 0.987
0.973 0.321 0.250
0.973 0.651 0.250
```

***

6.
Crystalline Dy2Ga8Fe at its relaxed geometry. Source: OQMD, functional PBE-GGA.

Results
E_tot, eV/atom: -4.244
Space-group type: P4/mmm
Size of the total moment, μB per formula unit: 0.0
Theoretical density, g cm⁻³: 7.845
Volume, Å³/atom: 18.06

```
Dy2Ga8Fe
1.0
4.217 0.000 0.000
0.000 4.217 0.000
0.000 0.000 11.174
Dy Ga Fe
2 8 1
Direct
0.000 0.000 0.196
0.000 0.000 0.804
0.000 0.500 0.000
0.000 0.500 0.385
0.000 0.500 0.615
0.500 0.000 0.000
0.500 0.000 0.385
0.500 0.000 0.615
0.500 0.500 0.198
0.500 0.500 0.802
0.000 0.000 0.500
```